*i*
Computed, not measured: an optimized crystal structure of Pm2ErCd at the GGA-PBE level of DFT.

Geometry as CIF:
```
data_Pm2ErCd
_chemical_formula_sum 'Pm8 Er4 Cd4'
_space_group_name_H-M_alt 'F m -3 m'
_space_group_IT_number 225
_space_group_name_Hall '-F 4 2 3'
_cell_length_a 7.806
_cell_length_b 7.806
_cell_length_c 7.806
_cell_angle_alpha 90.00
_cell_angle_beta 90.00
_cell_angle_gamma 90.00
loop_
_atom_site_label
_atom_site_type_symbol
_atom_site_fract_x
_atom_site_fract_y
_atom_site_fract_z
Pm1 Pm 0.250 0.250 0.250
Er1 Er 0.000 0.000 0.000
Cd1 Cd 0.000 0.000 0.500
```


*ii*
Computed, not measured: an optimized crystal structure of Pm2ErCd at the GGA-PBE level of DFT.

Geometry as CIF:
```
data_Pm2ErCd
_chemical_formula_sum 'Pm16 Er8 Cd8'
_space_group_name_H-M_alt 'F m m m'
_space_group_IT_number 69
_space_group_name_Hall '-F 2 2'
_cell_length_a 7.321
_cell_length_b 7.330
_cell_length_c 17.970
_cell_angle_alpha 90.00
_cell_angle_beta 90.00
_cell_angle_gamma 90.00
loop_
_atom_site_label
_atom_site_type_symbol
_atom_site_fract_x
_atom_site_fract_y
_atom_site_fract_z
Pm1 Pm 0.000 0.000 0.136
Pm2 Pm 0.250 0.250 0.000
Er1 Er 0.000 0.000 0.359
Cd1 Cd 0.250 0.250 0.250
```


Most stable: *ii*


*i*
Computed, not measured: an optimized crystal structure of Pm2ErCd at the GGA-PBE level of DFT.

Geometry as CIF:
```
data_Pm2ErCd
_chemical_formula_sum 'Pm2 Er1 Cd1'
_space_group_name_H-M_alt 'P 4/m m m'
_space_group_IT_number 123
_space_group_name_Hall '-P 4 2'
_cell_length_a 3.677
_cell_length_b 3.677
_cell_length_c 9.004
_cell_angle_alpha 90.00
_cell_angle_beta 90.00
_cell_angle_gamma 90.00
loop_
_atom_site_label
_atom_site_type_symbol
_atom_site_fract_x
_atom_site_fract_y
_atom_site_fract_z
Pm1 Pm 0.000 0.000 0.229
Er1 Er 0.500 0.500 0.500
Cd1 Cd 0.500 0.500 0.000
```


*ii*
Computed, not measured: an optimized crystal structure of Pm2ErCd at the GGA-PBE level of DFT.

Geometry as CIF:
```
data_Pm2ErCd
_chemical_formula_sum 'Pm6 Er3 Cd3'
_space_group_name_H-M_alt 'R -3 m'
_space_group_IT_number 166
_space_group_name_Hall '-R 3 2"'
_cell_length_a 3.4531
_cell_length_b 3.4531
_cell_length_c 36.5329
_cell_angle_alpha 90.00
_cell_angle_beta 90.00
_cell_angle_gamma 120.00
loop_
_atom_site_label
_atom_site_type_symbol
_atom_site_fract_x
_atom_site_fract_y
_atom_site_fract_z
Pm1 Pm 0.0000 0.0000 0.0939
Er1 Er 0.0000 0.0000 0.0000
Cd1 Cd 0.0000 0.0000 0.5000
```


Most stable: *i*


*i*
Computed, not measured: an optimized crystal structure of Pm6ErCd at the GGA-PBE level of DFT.

Geometry as CIF:
```
data_Pm6ErCd
_chemical_formula_sum 'Pm6 Er1 Cd1'
_space_group_name_H-M_alt 'P 4/m m m'
_space_group_IT_number 123
_space_group_name_Hall '-P 4 2'
_cell_length_a 4.996
_cell_length_b 4.996
_cell_length_c 10.218
_cell_angle_alpha 90.00
_cell_angle_beta 90.00
_cell_angle_gamma 90.00
loop_
_atom_site_label
_atom_site_type_symbol
_atom_site_fract_x
_atom_site_fract_y
_atom_site_fract_z
Pm1 Pm 0.000 0.000 0.000
Pm2 Pm 0.000 0.000 0.500
Pm3 Pm 0.000 0.500 0.245
Er1 Er 0.500 0.500 0.500
Cd1 Cd 0.500 0.500 0.000
```


*ii*
Computed, not measured: an optimized crystal structure of Pm6ErCd at the GGA-PBE level of DFT.

Geometry as CIF:
```
data_Pm6ErCd
_chemical_formula_sum 'Pm12 Er2 Cd2'
_space_group_name_H-M_alt 'C 1 2/m 1'
_space_group_IT_number 12
_cell_length_a 6.714
_cell_length_b 11.599
_cell_length_c 6.605
_cell_angle_alpha 90.00
_cell_angle_beta 90.00
_cell_angle_gamma 90.00
loop_
_space_group_symop_operation_xyz
'x,y,z'
'-x,-y,-z'
'-x,y,-z'
'x,-y,z'
'x+1/2,y+1/2,z'
'-x+1/2,-y+1/2,-z'
'-x+1/2,y+1/2,-z'
'x+1/2,-y+1/2,z'
loop_
_atom_site_label
_atom_site_type_symbol
_atom_site_fract_x
_atom_site_fract_y
_atom_site_fract_z
Pm1 Pm 0.077 0.000 0.246
Pm2 Pm 0.214 0.288 0.246
Er1 Er 0.000 0.500 0.500
Cd1 Cd 0.000 0.500 0.000
```


Most stable: *i*


*i*
Computed, not measured: an optimized crystal structure of Pm2ErCd4 at the GGA-PBE level of DFT.

Geometry as CIF:
```
data_Pm2ErCd4
_chemical_formula_sum 'Pm4 Er2 Cd8'
_space_group_name_H-M_alt 'I 4/m m m'
_space_group_IT_number 139
_space_group_name_Hall '-I 4 2'
_cell_length_a 5.588
_cell_length_b 5.588
_cell_length_c 15.844
_cell_angle_alpha 90.00
_cell_angle_beta 90.00
_cell_angle_gamma 90.00
loop_
_atom_site_label
_atom_site_type_symbol
_atom_site_fract_x
_atom_site_fract_y
_atom_site_fract_z
Pm1 Pm 0.000 0.000 0.107
Er1 Er 0.000 0.000 0.500
Cd1 Cd 0.000 0.000 0.310
Cd2 Cd 0.000 0.500 0.000
```


*ii*
Computed, not measured: an optimized crystal structure of Pm2ErCd4 at the GGA-PBE level of DFT.

Geometry as CIF:
```
data_Pm2ErCd4
_chemical_formula_sum 'Pm4 Er2 Cd8'
_space_group_name_H-M_alt 'I 4/m m m'
_space_group_IT_number 139
_space_group_name_Hall '-I 4 2'
_cell_length_a 5.335
_cell_length_b 5.335
_cell_length_c 14.192
_cell_angle_alpha 90.00
_cell_angle_beta 90.00
_cell_angle_gamma 90.00
loop_
_atom_site_label
_atom_site_type_symbol
_atom_site_fract_x
_atom_site_fract_y
_atom_site_fract_z
Pm1 Pm 0.000 0.000 0.241
Er1 Er 0.000 0.000 0.500
Cd1 Cd 0.000 0.500 0.110
```


Most stable: *ii*


*i*
Computed, not measured: an optimized crystal structure of PmErCd3 at the GGA-PBE level of DFT.

Geometry as CIF:
```
data_PmErCd3
_chemical_formula_sum 'Pm4 Er4 Cd12'
_space_group_name_H-M_alt 'P -1'
_space_group_IT_number 2
_cell_length_a 8.000
_cell_length_b 8.326
_cell_length_c 8.540
_cell_angle_alpha 90.02
_cell_angle_beta 113.80
_cell_angle_gamma 90.06
loop_
_space_group_symop_operation_xyz
'x,y,z'
'-x,-y,-z'
loop_
_atom_site_label
_atom_site_type_symbol
_atom_site_fract_x
_atom_site_fract_y
_atom_site_fract_z
Pm1 Pm 0.086 0.249 0.085
Pm2 Pm 0.394 0.750 0.040
Er1 Er 0.082 0.749 0.588
Er2 Er 0.390 0.250 0.540
Cd1 Cd 0.197 0.070 0.803
Cd2 Cd 0.198 0.429 0.804
Cd3 Cd 0.207 0.571 0.322
Cd4 Cd 0.208 0.929 0.322
Cd5 Cd 0.492 0.919 0.737
Cd6 Cd 0.493 0.581 0.738
```


*ii*
Computed, not measured: an optimized crystal structure of PmErCd3 at the GGA-PBE level of DFT.

Geometry as CIF:
```
data_PmErCd3
_chemical_formula_sum 'Pm4 Er4 Cd12'
_space_group_name_H-M_alt 'C m c m'
_space_group_IT_number 63
_space_group_name_Hall '-C 2c 2'
_cell_length_a 3.499
_cell_length_b 29.596
_cell_length_c 4.994
_cell_angle_alpha 90.00
_cell_angle_beta 90.00
_cell_angle_gamma 90.00
loop_
_atom_site_label
_atom_site_type_symbol
_atom_site_fract_x
_atom_site_fract_y
_atom_site_fract_z
Pm1 Pm 0.000 0.075 0.250
Er1 Er 0.000 0.215 0.750
Cd1 Cd 0.000 0.322 0.750
Cd2 Cd 0.000 0.377 0.250
Cd3 Cd 0.000 0.476 0.250
```


Most stable: *ii*


*i*
Computed, not measured: an optimized crystal structure of Pm4ErCd at the GGA-PBE level of DFT.

Geometry as CIF:
```
data_Pm4ErCd
_chemical_formula_sum 'Pm4 Er1 Cd1'
_space_group_name_H-M_alt 'P 4/m m m'
_space_group_IT_number 123
_space_group_name_Hall '-P 4 2'
_cell_length_a 3.650
_cell_length_b 3.650
_cell_length_c 14.255
_cell_angle_alpha 90.00
_cell_angle_beta 90.00
_cell_angle_gamma 90.00
loop_
_atom_site_label
_atom_site_type_symbol
_atom_site_fract_x
_atom_site_fract_y
_atom_site_fract_z
Pm1 Pm 0.000 0.000 0.148
Pm2 Pm 0.500 0.500 0.326
Er1 Er 0.000 0.000 0.500
Cd1 Cd 0.500 0.500 0.000
```


*ii*
Computed, not measured: an optimized crystal structure of Pm4ErCd at the GGA-PBE level of DFT.

Geometry as CIF:
```
data_Pm4ErCd
_chemical_formula_sum 'Pm16 Er4 Cd4'
_space_group_name_H-M_alt 'C 1 2/c 1'
_space_group_IT_number 15
_cell_length_a 8.888
_cell_length_b 14.406
_cell_length_c 6.384
_cell_angle_alpha 90.00
_cell_angle_beta 109.53
_cell_angle_gamma 90.00
loop_
_space_group_symop_operation_xyz
'x,y,z'
'-x,-y,-z'
'-x,y,-z+1/2'
'x,-y,z+1/2'
'x+1/2,y+1/2,z'
'-x+1/2,-y+1/2,-z'
'-x+1/2,y+1/2,-z+1/2'
'x+1/2,-y+1/2,z+1/2'
loop_
_atom_site_label
_atom_site_type_symbol
_atom_site_fract_x
_atom_site_fract_y
_atom_site_fract_z
Pm1 Pm 0.098 0.191 0.046
Pm2 Pm 0.213 0.382 0.376
Er1 Er 0.000 0.412 0.750
Cd1 Cd 0.000 0.001 0.750
```


Most stable: *i*